Entry 1:
{
  "formula": "KCeSe4",
  "functional": "PBEsol",
  "state": "optimized geometry",
  "e_form_raw_mev_per_atom": -1122,
  "lattice_angstrom": [[-4.4684, 3.8521, 2.0664], [0.9842, -1.9925, 5.8426], [5.6461, 5.9679, 1.0840]],
  "species": ["Se", "Se", "Se", "Se", "Se", "Se", "Se", "Se", "K", "K", "Ce", "Ce"],
  "fractional_positions": [[0.8611, 0.6389, 0.7897], [0.1389, 0.3611, 0.7897], [0.6389, 0.8611, 0.2103], [0.3611, 0.8611, 0.7897], [0.1389, 0.6389, 0.2103], [0.3611, 0.1389, 0.2103], [0.8611, 0.3611, 0.2103], [0.6389, 0.1389, 0.7897], [0.0000, 0.0000, 0.5000], [0.5000, 0.5000, 0.5000], [0.0000, 0.0000, 0.0000], [0.5000, 0.5000, 0.0000]]
}


Entry 2:
{
  "formula": "LaCe",
  "functional": "PBEsol",
  "state": "optimized geometry",
  "ef_ev_per_atom": 0.10,
  "lattice_angstrom": [[-3.3779, -0.1531, -0.4205], [-1.3398, -2.1819, -2.2483], [-1.8904, -4.6767, 3.0830]],
  "species": ["Ce", "La"],
  "fractional_positions": [[0.0000, 0.0000, 0.0000], [0.5000, 0.5000, 0.5000]]
}


no.,DFT total energy (eV per cell),size of the total moment (μB per formula unit)
1,-59.7,1.0
2,-11.7,0.0